Density functional theory data (PBE) for crystalline Gd2InRu at its relaxed geometry.

Properties
- Raw total energy: -10.33 eV/atom

Geometry as extended XYZ:
```
4
Lattice="-0.553 3.215 -1.739 -3.875 -2.030 -2.520 -3.147 1.446 3.673" Properties=species:S:1:pos:R:3 pbc="T T T"
Ru -0.276 1.607 -0.870
Gd -1.573 0.723 1.837
Gd -1.937 -1.015 -1.260
In -3.787 1.316 -0.293
```

=====

Density functional theory data (PBE) for crystalline MnCr2AgTe at its relaxed geometry.

Properties
- Raw total energy: -5.50 eV/atom

Geometry as extended XYZ:
```
5
Lattice="5.051 0.000 0.000 0.000 5.296 0.000 0.000 0.000 5.051" Properties=species:S:1:pos:R:3 pbc="T T T"
Mn 2.526 2.648 2.526
Te 0.000 2.648 0.000
Ag 0.000 0.000 0.000
Cr 0.000 0.000 2.526
Cr 2.526 0.000 0.000
```

=====

Density functional theory data (PBE) for crystalline FeCoNi6 at its relaxed geometry.

Properties
- Energy relative to the lowest polymorph listed for this composition: 0.9 meV/atom

Geometry as extended XYZ:
```
32
Lattice="-4.114 -3.933 -2.246 3.920 1.606 -4.416 5.932 -7.628 2.492" Properties=species:S:1:pos:R:3 pbc="T T T"
Co 3.378 -1.697 -3.246
Co -0.607 -4.444 -2.169
Co 2.959 -3.805 1.243
Co 0.007 -0.009 0.003
Fe 6.349 -5.507 -2.001
Fe 2.355 -8.262 -0.922
Fe 2.868 -4.976 -2.085
Fe -0.096 -1.165 -3.330
Ni 4.877 -3.584 -2.630
Ni 2.556 -7.204 -3.175
Ni 4.660 -4.653 -0.373
Ni 0.851 -6.359 -1.543
Ni 2.654 -6.036 0.169
Ni 4.563 -5.821 -3.717
Ni 1.386 -3.071 -2.708
Ni 3.180 -2.746 -0.998
Ni 1.169 -4.132 -0.455
Ni 1.920 0.218 -3.872
Ni -0.409 -3.396 -4.417
Ni 1.700 -0.842 -1.620
Ni -2.105 -2.557 -2.785
Ni -0.311 -2.228 -1.077
Ni 1.602 -2.009 -4.960
Ni 4.352 -6.885 -1.462
Ni 6.148 -6.565 0.251
Ni 4.141 -7.948 0.793
Ni 1.483 -1.907 0.623
Ni 3.083 -3.913 -4.338
Ni 1.072 -5.299 -3.795
Ni 4.449 -5.721 1.869
Ni 6.050 -7.733 -3.092
Ni 4.043 -9.116 -2.550
```

=====

Density functional theory data (PBE) for crystalline LiSmCoSb at its relaxed geometry.

Properties
- Raw total energy: -4.96 eV/atom

Geometry as extended XYZ:
```
4
Lattice="4.645 0.000 0.000 2.322 4.023 0.000 2.322 1.341 3.793" Properties=species:S:1:pos:R:3 pbc="T T T"
Sb 0.000 0.000 0.000
Co 2.322 1.341 0.948
Sm 4.645 2.682 1.896
Li 6.967 4.023 2.844
```

=====

Density functional theory data (PBE) for crystalline CaIn2I6 at its relaxed geometry.

Properties
- Energy relative to the lowest polymorph listed for this composition: 66.2 meV/atom

Geometry as extended XYZ:
```
9
Lattice="5.426 0.000 0.000 -2.713 7.194 0.922 0.000 -1.048 11.594" Properties=species:S:1:pos:R:3 pbc="T T T"
Ca 0.000 -0.524 5.797
In 2.713 2.229 9.554
In 0.000 3.916 2.962
I 2.713 5.157 9.384
I 2.713 4.530 2.076
I 0.000 1.615 10.440
I 2.713 1.249 6.699
I 0.000 4.896 5.818
I 0.000 0.988 3.132
```

=====

Density functional theory data (PBE) for crystalline Pm5Nd8Pu at its relaxed geometry.

Properties
- Raw total energy: -5.27 eV/atom

Geometry as extended XYZ:
```
14
Lattice="8.367 0.026 -2.130 -4.513 6.660 -3.258 0.689 -0.026 8.606" Properties=species:S:1:pos:R:3 pbc="T T T"
Pm -0.973 2.585 -0.344
Pm 3.734 5.864 -3.349
Pm 3.902 4.075 2.408
Pm 3.720 0.000 2.660
Pm 1.892 0.822 -0.772
Nd -1.192 4.312 5.375
Nd 7.560 0.826 3.273
Nd 5.438 1.629 0.251
Nd 4.799 2.335 5.308
Nd 2.061 4.325 -0.433
Nd 1.028 5.834 2.837
Nd 0.877 2.322 2.482
Nd -2.517 5.031 1.807
Pu 1.805 3.317 5.332
```

=====

> What is the formula in the second record?

MnCr2AgTe